(1)
HfZrSnC | PBE | relaxed

The calculation puts the density at 9.30 g cm⁻³. As for the offset from the most stable computed form: 0 meV per atom. Its energy is -8.712 eV per atom.

The structure belongs to space group P-6m2 (No. 187); the cell edges are 3.3568, 3.3568 and 14.6604 Å and the angles 90.00°, 90.00° and 120.00°. Symmetry generates all atoms from Hf at (0.0000, 0.0000, 0.1644), Zr at (0.6667, 0.3333, 0.3340), Sn at (0.0000, 0.0000, 0.5000), Sn at (0.6667, 0.3333, 0.0000) and C at (0.3333, 0.6667, 0.2453).

=====

(2)
CsRbBiAu | PBE | relaxed

The calculation puts the density at 7.34 g cm⁻³. As for the offset from the most stable computed form: 326 meV per atom. Its energy is -2.385 eV per atom.

The structure belongs to space group F-43m (No. 216); the cell edges are 8.2671, 8.2671 and 8.2671 Å and the angles 90.00°, 90.00° and 90.00°. Symmetry generates all atoms from Cs at (0.0000, 0.0000, 0.0000), Rb at (0.2500, 0.2500, 0.7500), Bi at (0.2500, 0.2500, 0.2500) and Au at (0.0000, 0.0000, 0.5000).

=====

(3)
Li2Zr2O5 | PBE | relaxed

The calculation puts the density at 3.74 g cm⁻³. As for the offset from the most stable computed form: 0 meV per atom. Its energy is -7.653 eV per atom.

The structure belongs to space group P4/mmm (No. 123); the cell edges are 3.9503, 3.9503 and 7.8612 Å and the angles 90.00°, 90.00° and 90.00°. Symmetry generates all atoms from Li at (0.0000, 0.0000, 0.0000), Li at (0.0000, 0.0000, 0.5000), Zr at (0.5000, 0.5000, 0.2430), O at (0.0000, 0.5000, 0.1822) and O at (0.5000, 0.5000, 0.5000).

=====

(4)
K2Te2PdO8 | PBE | relaxed

The calculation puts the density at 4.12 g cm⁻³. Its energy is -5.107 eV per atom.

The structure belongs to space group P-1 (No. 2); the cell edges are 5.1549, 6.2430 and 7.7427 Å and the angles 70.87°, 83.74° and 76.41°. Symmetry generates all atoms from K at (0.2085, 0.2545, 0.3334), Te at (0.4309, 0.2856, 0.7760), Pd at (0.0000, 0.0000, 0.0000), O at (0.2169, 0.7187, 0.1778), O at (0.2548, 0.1995, 0.0082), O at (0.3082, 0.5915, 0.6529) and O at (0.3837, 0.0860, 0.6620).

=====

> Which of these has the highest density?

HfZrSnC